Computed, not measured: a geometry-optimized CrGaF2 structure at the PBE+U level of DFT.

Cell lengths 6.1147, 6.1147, 6.1147 Å; angles 90.00, 90.00, 90.00 degrees
Space group Fm-3m (No. 225)
Unique sites:
Cr 0.0000 0.0000 0.0000
Ga 0.0000 0.0000 0.5000
F 0.2500 0.2500 0.2500

Computed properties:
Mass density   4.640 g cm⁻³
ΔE to the lowest computed polymorph   24.0 kJ per mole of atoms
DOS(E_F)   0.000 states/eV per atom